# CoOsO3

A relaxed structure of CoOsO3 (PBE+U, OQMD).

Unit cell a=3.9003 b=3.9003 c=3.9003 alpha=90.00 beta=90.00 gamma=90.00
Last column: magnetic moment on the atom in μB.
Positions (direct):
Os (0.5000, 0.5000, 0.5000)  0.03
O (0.5000, 0.5000, 0.0000)  0.00
O (0.5000, 0.0000, 0.5000)  0.03
Co (0.0000, 0.0000, 0.0000)  2.07
O (0.0000, 0.5000, 0.5000)  0.03

DFT total energy = -6.55 eV/atom
space group = Pm-3m